Record 1
Here is a PBEsol-optimized structure of MnTlSe from the Alexandria database. Energies are from meta-GGA SCAN.

Space group: No. 216
Total moment in μB per cell: 4.26
Relative energy among the computed polymorphs in kJ/mol of formula units: 79.4
ΔE_f (raw) in eV per atom: -0.089

Lattice parameters (Å, degrees): 4.5758 4.5758 4.5758 60.00 60.00 60.00
With the nearest neighbours (Å) after each atom.
Atoms (fractional coordinates):
Mn  0.2500  0.2500  0.2500  4 Tl 2.80, 4 Se 2.80
Se  0.0000  0.0000  0.0000  4 Mn 2.80
Tl  0.5000  0.5000  0.5000  4 Mn 2.80


Record 2
Here is a PBEsol-optimized structure of Tc2NiBr from the Alexandria database. Energies are from meta-GGA SCAN.

Space group: No. 65
Total moment in μB per cell: 0.00
Relative energy among the computed polymorphs in kJ/mol of formula units: 1.3
ΔE_f (raw) in eV per atom: 1.039

Lattice parameters (Å, degrees): 2.7114 2.7114 8.8125 90.00 90.00 115.83
With the nearest neighbours (Å) after each atom.
Atoms (fractional coordinates):
Br  0.5000  0.5000  0.5000  6 Br 2.71-2.88, 4 Tc 2.78
Ni  0.5000  0.5000  0.0000  4 Tc 2.49, 4 Ni 2.71
Tc  0.0000  0.0000  0.2303  2 Ni 2.49, 4 Tc 2.71, 2 Br 2.78
Tc  0.0000  0.0000  0.7697  2 Ni 2.49, 4 Tc 2.71, 2 Br 2.78


Record 3
Here is a PBEsol-optimized structure of V3Cr3Si2 from the Alexandria database. Energies are from meta-GGA SCAN.

Space group: No. 155
Total moment in μB per cell: 0.00
ΔE_f (raw) in eV per atom: -0.457

Lattice parameters (Å, degrees): 4.5491 4.5491 4.5491 89.96 89.96 89.96
With the nearest neighbours (Å) after each atom.
Atoms (fractional coordinates):
V  0.7498  0.2502  0.0000  2 Cr 2.27, 2 Si 2.54
V  0.2502  0.0000  0.7498  2 Cr 2.27, 2 Si 2.54
V  0.0000  0.7498  0.2502  2 Cr 2.27, 2 Si 2.54
Cr  0.7498  0.2502  0.5000  2 V 2.27, 4 Si 2.54-2.55
Cr  0.2502  0.5000  0.7498  2 V 2.27, 4 Si 2.54-2.55
Cr  0.5000  0.7498  0.2502  2 V 2.27, 4 Si 2.54-2.55
Si  0.2510  0.2510  0.2510  6 Cr 2.54-2.55, 6 V 2.54-2.55
Si  0.7490  0.7490  0.7490  6 Cr 2.54-2.55, 6 V 2.54-2.55


Number 1: electronic total energy -36.9868 eV per atom. Number 2: electronic total energy -25.3990 eV per atom. Number 3: electronic total energy -16.4136 eV per atom.